Record 1
{
  "formula": "TaBe3F",
  "functional": "PBE",
  "state": "optimized geometry",
  "lattice_angstrom": [[-3.1348, -0.3687, -2.1218], [-2.0997, -0.3102, 3.1560], [-0.4790, 3.7727, 0.0521]],
  "species": ["Be", "Be", "Be", "F", "Ta"],
  "frac_coords": [[0.0000, 0.5000, 0.0000], [0.0000, 0.0000, 0.5000], [0.5000, 0.0000, 0.0000], [0.0000, 0.0000, 0.0000], [0.5000, 0.5000, 0.5000]],
  "sg": "Pm-3m, No. 221",
  "e_tot_ev_per_atom": -4.97,
  "e_above_lowest_polymorph_mev_per_atom": 0,
  "e_form_raw_ev_per_atom": 0.007
}

***

Record 2
{
  "formula": "TaBeF2",
  "functional": "PBE",
  "state": "optimized geometry",
  "lattice_angstrom": [[3.8019, -0.4333, -1.1866], [2.3397, -2.7492, 1.7372], [1.1023, -3.2685, -2.0376]],
  "species": ["Be", "F", "F", "Ta"],
  "frac_coords": [[0.0000, 0.0000, 0.0000], [0.2500, 0.2500, 0.2500], [0.7500, 0.7500, 0.7500], [0.5000, 0.5000, 0.5000]],
  "sg": "Fm-3m, No. 225",
  "e_tot_ev_per_atom": -5.09,
  "e_above_lowest_polymorph_mev_per_atom": 1331,
  "e_form_raw_ev_per_atom": -0.263
}

***

Record 3
{
  "formula": "TaBeF3",
  "functional": "PBE",
  "state": "optimized geometry",
  "lattice_angstrom": [[3.8354, 0.0000, 0.0000], [0.0000, 3.8354, 0.0000], [0.0000, 0.0000, 3.8354]],
  "species": ["Be", "F", "F", "F", "Ta"],
  "frac_coords": [[0.0000, 0.0000, 0.0000], [0.0000, 0.5000, 0.0000], [0.0000, 0.0000, 0.5000], [0.5000, 0.0000, 0.0000], [0.5000, 0.5000, 0.5000]],
  "sg": "Pm-3m, No. 221",
  "e_tot_ev_per_atom": -5.18,
  "e_above_lowest_polymorph_mev_per_atom": 220,
  "e_form_raw_ev_per_atom": -0.938
}

***

Record 4
{
  "formula": "TaBeF2",
  "functional": "PBE",
  "state": "optimized geometry",
  "lattice_angstrom": [[-1.8633, -5.7584, 5.8355], [0.2551, -4.5143, 7.0880], [-2.2861, -3.4669, 7.3101]],
  "species": ["Be", "F", "F", "Ta"],
  "frac_coords": [[0.0000, 0.0000, 0.0000], [0.8971, 0.8971, 0.8971], [0.1029, 0.1029, 0.1029], [0.5000, 0.5000, 0.5000]],
  "sg": "R-3m, No. 166",
  "e_tot_ev_per_atom": -5.88,
  "e_above_lowest_polymorph_mev_per_atom": 546,
  "e_form_raw_ev_per_atom": -1.048
}

***

Record 5
{
  "formula": "TaBe3F",
  "functional": "PBE",
  "state": "optimized geometry",
  "lattice_angstrom": [[4.7521, 0.0000, 0.0000], [0.0000, 4.7521, 0.0000], [0.0000, 0.0000, 4.7521]],
  "species": ["Be", "Be", "Be", "F", "Ta"],
  "frac_coords": [[0.0000, 0.5000, 0.0000], [0.0000, 0.0000, 0.5000], [0.5000, 0.0000, 0.0000], [0.5000, 0.5000, 0.5000], [0.0000, 0.0000, 0.0000]],
  "sg": "Pm-3m, No. 221",
  "e_tot_ev_per_atom": -3.27,
  "e_above_lowest_polymorph_mev_per_atom": 1702,
  "e_form_raw_ev_per_atom": 1.709
}

***

Record 6
{
  "formula": "TaBeF3",
  "functional": "PBE",
  "state": "optimized geometry",
  "lattice_angstrom": [[4.2307, 0.0000, 0.0000], [0.0000, 4.2307, 0.0000], [0.0000, 0.0000, 4.2307]],
  "species": ["Be", "F", "F", "F", "Ta"],
  "frac_coords": [[0.5000, 0.5000, 0.5000], [0.0000, 0.5000, 0.0000], [0.0000, 0.0000, 0.5000], [0.5000, 0.0000, 0.0000], [0.0000, 0.0000, 0.0000]],
  "sg": "Pm-3m, No. 221",
  "e_tot_ev_per_atom": -5.40,
  "e_above_lowest_polymorph_mev_per_atom": 0,
  "e_form_raw_ev_per_atom": -1.159
}

***

Record 7
{
  "formula": "TaBeF2",
  "functional": "PBE",
  "state": "optimized geometry",
  "lattice_angstrom": [[-0.5058, 5.1454, -0.6852], [-3.2346, -0.8509, -4.0017], [-4.7513, 2.1735, -0.0202]],
  "species": ["Be", "Be", "F", "F", "F", "F", "Ta", "Ta"],
  "frac_coords": [[0.5000, 0.5000, 0.0000], [0.2500, 0.7500, 0.5000], [0.3749, 0.1250, 0.2500], [0.3751, 0.6250, 0.2500], [0.3750, 0.6251, 0.7500], [0.8750, 0.6249, 0.7500], [0.0000, 0.0000, 0.0000], [0.7500, 0.2500, 0.5000]],
  "sg": "I4_1/amd, No. 141",
  "e_tot_ev_per_atom": -5.78,
  "e_above_lowest_polymorph_mev_per_atom": 643,
  "e_form_raw_ev_per_atom": -0.951
}

***

Record 8
{
  "formula": "Ta3BeF",
  "functional": "PBE",
  "state": "optimized geometry",
  "lattice_angstrom": [[-3.1540, 2.8394, -0.0348], [-2.3994, -2.6927, -2.2369], [-1.5187, -1.6427, 3.6065]],
  "species": ["Be", "F", "Ta", "Ta", "Ta"],
  "frac_coords": [[0.5000, 0.5000, 0.5000], [0.0000, 0.0000, 0.0000], [0.0000, 0.5000, 0.0000], [0.0000, 0.0000, 0.5000], [0.5000, 0.0000, 0.0000]],
  "sg": "Pm-3m, No. 221",
  "e_tot_ev_per_atom": -7.81,
  "e_above_lowest_polymorph_mev_per_atom": 0,
  "e_form_raw_ev_per_atom": 0.417
}

***

Record 9
{
  "formula": "TaBeF2",
  "functional": "PBE",
  "state": "optimized geometry",
  "lattice_angstrom": [[2.5097, -7.8245, 4.7109], [4.7167, -6.3718, 5.1833], [2.5690, -6.1049, 6.7709]],
  "species": ["Be", "F", "F", "Ta"],
  "frac_coords": [[0.5000, 0.5000, 0.5000], [0.8650, 0.8650, 0.8650], [0.1350, 0.1350, 0.1350], [0.0000, 0.0000, 0.0000]],
  "sg": "R-3m, No. 166",
  "e_tot_ev_per_atom": -6.42,
  "e_above_lowest_polymorph_mev_per_atom": 0,
  "e_form_raw_ev_per_atom": -1.594
}

***

Record 10
{
  "formula": "TaBeTcF2",
  "functional": "PBE",
  "state": "optimized geometry",
  "lattice_angstrom": [[3.9171, 0.0000, 0.0000], [0.0000, 5.1037, 0.0000], [0.0000, 0.0000, 3.9171]],
  "species": ["Be", "F", "F", "Tc", "Ta"],
  "frac_coords": [[0.5000, 0.5000, 0.5000], [0.0000, 0.0000, 0.5000], [0.5000, 0.0000, 0.0000], [0.0000, 0.5000, 0.0000], [0.0000, 0.0000, 0.0000]],
  "sg": "P4/mmm, No. 123",
  "e_tot_ev_per_atom": -6.48,
  "e_form_raw_ev_per_atom": -0.544
}

***

Record 11
{
  "formula": "Tb2BeF8",
  "functional": "PBE",
  "state": "optimized geometry",
  "lattice_angstrom": [[4.4044, -0.6597, -0.5483], [-0.5632, 5.6997, 0.1612], [-0.5632, 1.2006, 5.5742]],
  "species": ["Tb", "Tb", "Be", "F", "F", "F", "F", "F", "F", "F", "F"],
  "frac_coords": [[0.6344, 0.3161, 0.3161], [0.3656, 0.6839, 0.6839], [0.0000, 0.0000, 0.0000], [0.7303, 0.0511, 0.6778], [0.2697, 0.3222, 0.9489], [0.7949, 0.1120, 0.1120], [0.2051, 0.8880, 0.8880], [0.7303, 0.6778, 0.0511], [0.2697, 0.9489, 0.3222], [0.2003, 0.4141, 0.4141], [0.7997, 0.5859, 0.5859]],
  "sg": "C2/m, No. 12",
  "e_tot_ev_per_atom": -6.36,
  "e_form_raw_ev_per_atom": -3.820
}

***

Record 12
{
  "formula": "BeTc2F",
  "functional": "PBE",
  "state": "optimized geometry",
  "lattice_angstrom": [[0.0000, 2.8545, 2.8545], [2.8545, 0.0000, 2.8545], [2.8545, 2.8545, 0.0000]],
  "species": ["Be", "Tc", "Tc", "F"],
  "frac_coords": [[0.0000, 0.0000, 0.0000], [0.2500, 0.2500, 0.2500], [0.7500, 0.7500, 0.7500], [0.5000, 0.5000, 0.5000]],
  "sg": "Fm-3m, No. 225",
  "e_tot_ev_per_atom": -6.26,
  "e_above_lowest_polymorph_mev_per_atom": 0,
  "e_form_raw_ev_per_atom": 0.323
}